Record 1
BSb2TeIr at its PBEsol-relaxed geometry. Source: Alexandria, functional meta-GGA SCAN.

The structure belongs to space group P4/mmm (No. 123); the cell edges are 4.5723, 4.5723 and 4.6198 Å and the angles 90.00°, 90.00° and 90.00°. The asymmetric unit holds B at (0.0000, 0.0000, 0.0000), Sb at (0.0000, 0.5000, 0.0000), Te at (0.0000, 0.0000, 0.5000) and Ir at (0.5000, 0.5000, 0.5000).

As for the relative energy among the computed polymorphs: 0.0 kJ/mol of atoms. Its mass density is 9.871 Mg/m³. The value obtained for the uncorrected formation energy is 1.139 eV/atom. For the spin magnetization, the calculation gives 0.00 Bohr magnetons per cell.

---

Record 2
ScZn4Os at its PBEsol-relaxed geometry. Source: Alexandria, functional meta-GGA SCAN.

The structure belongs to space group F-43m (No. 216); the cell edges are 6.9497, 6.9497 and 6.9497 Å and the angles 90.00°, 90.00° and 90.00°. The asymmetric unit holds Sc at (0.0000, 0.0000, 0.0000), Zn at (0.1241, 0.1241, 0.3759) and Os at (0.2500, 0.2500, 0.7500).

Its mass density is 9.831 Mg/m³. Its calculated formation energy is -323 meV/atom. For the spin magnetization, the calculation gives 0.00 Bohr magnetons per cell.

---

Record 3
MgTi2 at its PBEsol-relaxed geometry. Source: Alexandria, functional meta-GGA SCAN.

The structure belongs to space group Cmcm (No. 63); the cell edges are 2.8421, 15.9127 and 4.8184 Å and the angles 90.00°, 90.00° and 90.00°. The asymmetric unit holds Mg at (0.0000, 0.0516, 0.2500), Ti at (0.0000, 0.2763, 0.7500) and Ti at (0.0000, 0.3709, 0.2500).

Its mass density is 3.659 Mg/m³. Its calculated formation energy is 81 meV/atom. For the spin magnetization, the calculation gives 0.00 Bohr magnetons per cell.